(1)
! SiPbCl2 PBE relaxed; values from VASP
! Crystal system: orthorhombic
! Relative energy among the computed polymorphs (meV/atom): 52.6
! Raw total energy (eV for the cell shown): -14.1
&SYSTEM
  ibrav = 0, nat = 4, ntyp = 3
/
ATOMIC_SPECIES
Si 28.09 Si.upf
Pb 207.20 Pb.upf
Cl 35.45 Cl.upf
CELL_PARAMETERS angstrom
3.451 0.000 0.000
0.000 5.645 0.000
0.000 0.000 6.956
ATOMIC_POSITIONS crystal
Si 0.000 0.000 0.000
Pb 0.000 0.500 0.070
Cl 0.000 0.000 0.699
Cl 0.500 0.500 0.371

(2)
! CrNi3 PBE relaxed; values from VASP
! Crystal system: cubic
! Raw total energy (eV for the cell shown): -26.5
&SYSTEM
  ibrav = 0, nat = 4, ntyp = 2
/
ATOMIC_SPECIES
Cr 52.00 Cr.upf
Ni 58.69 Ni.upf
CELL_PARAMETERS angstrom
0.000 2.823 2.823
2.823 0.000 2.823
2.823 2.823 0.000
ATOMIC_POSITIONS crystal
Cr 0.000 0.000 0.000
Ni 0.250 0.250 0.250
Ni 0.500 0.500 0.500
Ni 0.750 0.750 0.750